No. 1
The following is a DFT calculation (GGA-PBE) of HfSnPd2 after structural relaxation.

Cell lengths 4.675, 4.675, 4.675 Å; angles 60.00, 60.00, 60.00 degrees
Sites, in units of the cell vectors:
Pd 0.750 0.750 0.750
Pd 0.000 0.000 0.000
Hf 0.250 0.250 0.250
Sn 0.500 0.500 0.500

Properties
crystal system	cubic
total DFT energy (no corrections)	-6.563	eV per atom
density	11.72	g/cm3

***

No. 2
The following is a DFT calculation (GGA-PBE) of Tb3AlGa2NiGe2 after structural relaxation.

Cell lengths 4.180, 7.019, 7.019 Å; angles 121.04, 90.00, 90.00 degrees
Sites, in units of the cell vectors:
Tb 0.000 0.005 0.601
Tb 0.000 0.601 0.005
Tb 0.000 0.401 0.401
Ga 0.500 0.226 0.996
Ga 0.500 0.996 0.226
Ge 0.500 0.339 0.666
Ge 0.500 0.666 0.339
Ni 0.000 0.992 0.992
Al 0.500 0.773 0.773

Properties
crystal system	orthorhombic
total DFT energy (no corrections)	-5.014	eV per atom
density	7.97	g/cm3

***

No. 3
The following is a DFT calculation (GGA-PBE) of NaNbSeS after structural relaxation.

Cell lengths 3.493, 3.493, 14.618 Å; angles 90.00, 90.00, 120.00 degrees
Sites, in units of the cell vectors:
Se 0.333 0.667 0.360
Se 0.667 0.333 0.860
S 0.667 0.333 0.640
S 0.333 0.667 0.140
Na 0.000 0.000 0.006
Na 0.000 0.000 0.506
Nb 0.000 0.000 0.244
Nb 0.000 0.000 0.744

Properties
crystal system	hexagonal
density	4.88	g/cm3
ΔE to the lowest computed polymorph	0.0000	eV/atom

***

No. 4
The following is a DFT calculation (GGA-PBE) of Li2Si2NiPt after structural relaxation.

Cell lengths 4.156, 4.156, 5.162 Å; angles 90.00, 90.00, 120.00 degrees
Sites, in units of the cell vectors:
Li 0.667 0.333 0.756
Li 0.667 0.333 0.244
Pt 0.333 0.667 0.500
Ni 0.000 0.000 0.000
Si 0.333 0.667 0.000
Si 0.000 0.000 0.500

Properties
crystal system	hexagonal
total DFT energy (no corrections)	-4.921	eV per atom
density	6.96	g/cm3

***

No. 5
The following is a DFT calculation (GGA-PBE) of BaNd after structural relaxation.

Cell lengths 4.968, 4.968, 4.968 Å; angles 60.00, 60.00, 60.00 degrees
Sites, in units of the cell vectors:
Nd 0.250 0.250 0.250
Ba 0.000 0.000 0.000

Properties
crystal system	cubic
density	5.39	g/cm3
ΔE to the lowest computed polymorph	1.1883	eV/atom

***

No. 6
The following is a DFT calculation (GGA-PBE) of Zr5SiSn3 after structural relaxation.

Cell lengths 8.692, 8.692, 5.881 Å; angles 90.00, 90.00, 120.00 degrees
Sites, in units of the cell vectors:
Sn 0.394 0.000 0.750
Sn 0.394 0.394 0.250
Sn 0.606 0.000 0.250
Sn 0.000 0.394 0.750
Sn 0.000 0.606 0.250
Sn 0.606 0.606 0.750
Zr 0.333 0.667 0.000
Zr 0.667 0.333 0.500
Zr 0.742 0.000 0.750
Zr 0.742 0.742 0.250
Zr 0.258 0.258 0.750
Zr 0.258 0.000 0.250
Zr 0.000 0.742 0.750
Zr 0.667 0.333 0.000
Zr 0.000 0.258 0.250
Zr 0.333 0.667 0.500
Si 0.000 0.000 0.000
Si 0.000 0.000 0.500

Properties
crystal system	hexagonal
total DFT energy (no corrections)	-7.401	eV per atom
density	7.25	g/cm3

***

No. 7
The following is a DFT calculation (GGA-PBE) of YLu2Fe2Co7 after structural relaxation.

Cell lengths 8.401, 8.401, 8.401 Å; angles 34.72, 34.72, 34.72 degrees
Sites, in units of the cell vectors:
Co 0.078 0.585 0.585
Co 0.500 0.500 0.500
Co 0.415 0.922 0.415
Co 0.922 0.415 0.415
Co 0.585 0.078 0.585
Co 0.585 0.585 0.078
Co 0.415 0.415 0.922
Fe 0.335 0.335 0.335
Fe 0.665 0.665 0.665
Lu 0.141 0.141 0.141
Lu 0.859 0.859 0.859
Y 0.000 0.000 0.000

Properties
crystal system	trigonal
density	9.32	g/cm3
formation energy	-0.224	eV per atom

***

No. 8
The following is a DFT calculation (GGA-PBE) of Y2AgPb2 after structural relaxation.

Cell lengths 7.267, 7.267, 7.267 Å; angles 138.27, 138.27, 60.49 degrees
Sites, in units of the cell vectors:
Pb 0.613 0.613 0.000
Pb 0.387 0.387 0.000
Y 0.750 0.250 0.500
Y 0.250 0.750 0.500
Ag 0.000 0.000 0.000

Properties
crystal system	tetragonal
density	6.91	g/cm3
ΔE to the lowest computed polymorph	0.6255	eV/atom

***

> What is the formula in the third record?

NaNbSeS

***

> Which of these has the lowest density?

NaNbSeS